[1]
Here is a relaxed Li3Ac2Tl4Cd crystal from Alexandria via LeMat-Bulk. Energies are from PBE.

```
Li3Ac2Tl4Cd
1.0
4.868 0.000 0.000
0.000 4.868 0.000
0.000 0.000 11.179
Li Ac Tl Cd
3 2 4 1
Direct
0.000 0.000 0.000
0.000 0.500 0.617
0.500 0.000 0.383
0.000 0.500 0.247
0.500 0.000 0.753
0.000 0.000 0.500
0.000 0.500 0.853
0.500 0.000 0.147
0.500 0.500 0.500
0.500 0.500 0.000
```

formation energy	-0.289	eV/atom
Fermi-level density of states	5.51	states/eV/cell

***

[2]
Here is a relaxed LiAcTl2Cd crystal from Alexandria via LeMat-Bulk. Energies are from PBE.

```
LiAcTl2Cd
1.0
-2.374 2.374 6.222
2.374 -2.374 6.222
2.374 2.374 -6.222
Li Ac Tl Cd
1 1 2 1
Direct
0.000 0.000 0.000
0.250 0.750 0.500
0.632 0.132 0.500
0.868 0.368 0.500
0.500 0.500 0.000
```

formation energy	-0.253	eV/atom
Fermi-level density of states	2.43	states/eV/cell

***

[3]
Here is a relaxed LiAc2TmCd6 crystal from Alexandria via LeMat-Bulk. Energies are from PBE.

```
LiAc2TmCd6
1.0
7.444 -3.598 0.000
7.444 3.598 0.000
-1.965 0.000 5.060
Li Ac Tm Cd
1 2 1 6
Direct
0.000 0.000 0.000
0.154 0.154 0.654
0.846 0.846 0.346
0.500 0.500 0.500
0.188 0.588 0.887
0.285 0.285 0.284
0.412 0.812 0.113
0.588 0.188 0.887
0.715 0.715 0.716
0.812 0.412 0.113
```

formation energy	-0.211	eV/atom
Fermi-level density of states	7.33	states/eV/cell